1.
BaLa2Co at its PBEsol-relaxed geometry. Source: the Alexandria database, functional meta-GGA SCAN.

a = 5.2426 Å, b = 5.2426 Å, c = 7.7933 Å
α = 90.00°, β = 90.00°, γ = 90.00°
Space group I4/mmm (No. 139)
One atom of each set of equivalent atoms:
Ba 0.0000 0.0000 0.0000 x2
La 0.0000 0.5000 0.2500 x4
Co 0.0000 0.0000 0.5000 x2

Output
formation energy from the elements	0.446	eV/atom
energy relative to the lowest polymorph listed for this composition	401	meV per atom

2.
LaAg3Ru at its PBEsol-relaxed geometry. Source: the Alexandria database, functional meta-GGA SCAN.

a = 4.9280 Å, b = 4.9280 Å, c = 4.9280 Å
α = 90.00°, β = 90.00°, γ = 90.00°
Space group Pm-3m (No. 221)
One atom of each set of equivalent atoms:
La 0.0000 0.0000 0.0000 x1
Ag 0.0000 0.5000 0.5000 x3
Ru 0.5000 0.5000 0.5000 x1

Output
formation energy from the elements	0.575	eV/atom

3.
Na5InO4 at its PBEsol-relaxed geometry. Source: the Alexandria database, functional meta-GGA SCAN.

a = 10.5427 Å, b = 10.7735 Å, c = 10.6904 Å
α = 90.00°, β = 90.00°, γ = 90.00°
Space group Pbca (No. 61)
One atom of each set of equivalent atoms:
Na 0.0945 0.1474 0.1243 x8
Na 0.1030 0.6615 0.8808 x8
Na 0.1322 0.6179 0.1509 x8
Na 0.1435 0.1032 0.3868 x8
Na 0.1666 0.6170 0.6066 x8
In 0.1151 0.1216 0.8522 x8
O 0.0004 0.2443 0.9561 x8
O 0.0104 0.5117 0.7474 x8
O 0.2321 0.2429 0.7525 x8
O 0.2375 0.0442 0.9852 x8

Output
energy relative to the lowest polymorph listed for this composition	0	meV per atom

4.
KCaGaPt2 at its PBEsol-relaxed geometry. Source: the Alexandria database, functional meta-GGA SCAN.

a = 5.0786 Å, b = 5.0786 Å, c = 4.9441 Å
α = 90.00°, β = 90.00°, γ = 90.00°
Space group P4/mmm (No. 123)
One atom of each set of equivalent atoms:
K 0.0000 0.0000 0.0000 x1
Ca 0.0000 0.0000 0.5000 x1
Ga 0.5000 0.5000 0.5000 x1
Pt 0.0000 0.5000 0.0000 x2

Output
formation energy from the elements	1.271	eV/atom

- Which formula does entry 3 have?
  Na5InO4